(1)
## TiBAu (PBE)

Data for crystalline TiBAu at its relaxed geometry.

The value obtained for the calculated density is 9.67 g cm⁻³. The total energy comes out at -34.92 eV/cell. The formation enthalpy at 0 K comes out at 0.13 eV/atom. The calculation puts the total magnetization at 0.00 μB per cell.

a b c (Å): 3.891 3.891 5.796
angles (deg): 90.00 90.00 90.00
Space group P4/nmm (No. 129, origin choice 2)
Asymmetric unit:
Ti: 0.250 0.250 0.152 x2
B: 0.250 0.750 0.000 x2
Au: 0.250 0.250 0.620 x2

(2)
## TiBAu (PBE)

Data for crystalline TiBAu at its relaxed geometry.

The value obtained for the calculated density is 10.24 g cm⁻³. The total energy comes out at -73.78 eV/cell. The formation enthalpy at 0 K comes out at -0.20 eV/atom. The calculation puts the total magnetization at 0.00 μB per cell.

a b c (Å): 8.312 3.483 5.727
angles (deg): 90.00 90.00 90.00
Space group Pnma (No. 62)
Asymmetric unit:
Ti: 0.116 0.250 0.119 x4
B: 0.158 0.750 0.872 x4
Au: 0.113 0.250 0.616 x4

(3)
## TiBAu (PBE)

Data for crystalline TiBAu at its relaxed geometry.

The value obtained for the calculated density is 10.02 g cm⁻³. The total energy comes out at -74.69 eV/cell. The formation enthalpy at 0 K comes out at -0.27 eV/atom. The calculation puts the total magnetization at 0.00 μB per cell.

a b c (Å): 8.785 3.004 6.477
angles (deg): 90.00 97.68 90.00
Space group Cm (No. 8)
Asymmetric unit:
Ti: 0.000 0.000 0.000 x2
Ti: 0.220 0.000 0.703 x2
B: 0.416 0.500 0.656 x2
B: 0.492 0.000 0.732 x2
Au: 0.242 0.500 0.146 x2
Au: 0.493 0.000 0.383 x2

(4)
## TiBAu (PBE)

Data for crystalline TiBAu at its relaxed geometry.

The value obtained for the calculated density is 10.21 g cm⁻³. The total energy comes out at -71.18 eV/cell. The formation enthalpy at 0 K comes out at 0.02 eV/atom. The calculation puts the total magnetization at 0.00 μB per cell.

a b c (Å): 5.041 3.115 10.593
angles (deg): 90.00 90.00 90.00
Space group Pnma (No. 62)
Asymmetric unit:
Ti: 0.216 0.250 0.194 x4
B: 0.033 0.750 0.342 x4
Au: 0.238 0.750 0.961 x4

(5)
## TiBAu (PBE)

Data for crystalline TiBAu at its relaxed geometry.

The value obtained for the calculated density is 10.65 g cm⁻³. The total energy comes out at -39.64 eV/cell. The formation enthalpy at 0 K comes out at -0.66 eV/atom. The calculation puts the total magnetization at 0.00 μB per cell.

a b c (Å): 3.0442 3.0442 9.9311
angles (deg): 90.00 90.00 120.00
Space group P-3m1 (No. 164)
Asymmetric unit:
Ti: 0.0000 0.0000 0.1567 x2
B: 0.3333 0.6667 0.9983 x2
Au: 0.3333 0.6667 0.3767 x2

(6)
## TiBAu (PBE)

Data for crystalline TiBAu at its relaxed geometry.

The value obtained for the calculated density is 10.64 g cm⁻³. The total energy comes out at -79.19 eV/cell. The formation enthalpy at 0 K comes out at -0.65 eV/atom. The calculation puts the total magnetization at 0.00 μB per cell.

a b c (Å): 5.267 3.042 10.114
angles (deg): 90.00 99.93 90.00
Space group C2/m (No. 12)
Asymmetric unit:
Ti: 0.052 0.000 0.156 x4
B: 0.166 0.500 0.998 x4
Au: 0.209 0.000 0.624 x4

(7)
## ZrTiBAu2 (PBE)

Data for crystalline ZrTiBAu2 at its relaxed geometry.

The value obtained for the calculated density is 6.79 g cm⁻³. The total energy comes out at -20.57 eV/cell. The formation enthalpy at 0 K comes out at 1.82 eV/atom. The calculation puts the total magnetization at 0.63 μB per cell.

a b c (Å): 5.209 5.209 4.901
angles (deg): 90.00 90.00 90.00
Space group P4/mmm (No. 123)
Asymmetric unit:
Zr: 0.000 0.000 0.000 x1
Ti: 0.000 0.000 0.500 x1
B: 0.500 0.500 0.500 x1
Au: 0.000 0.500 0.000 x2

(8)
## TlB3Au (PBE)

Data for crystalline TlB3Au at its relaxed geometry.

The value obtained for the calculated density is 7.65 g cm⁻³. The total energy comes out at -13.01 eV/cell. The formation enthalpy at 0 K comes out at 2.53 eV/atom. The calculation puts the total magnetization at 0.00 μB per cell.

a b c (Å): 4.549 4.549 4.549
angles (deg): 90.00 90.00 90.00
Space group Pm-3m (No. 221)
Asymmetric unit:
Tl: 0.000 0.000 0.000 x1
B: 0.000 0.000 0.500 x3
Au: 0.500 0.500 0.500 x1

calculated density of number 1 (TiBAu)? 9.67 g cm⁻³

Please write out number 7 again, unchanged.
## ZrTiBAu2 (PBE)

Data for crystalline ZrTiBAu2 at its relaxed geometry.

The value obtained for the calculated density is 6.79 g cm⁻³. The total energy comes out at -20.57 eV/cell. The formation enthalpy at 0 K comes out at 1.82 eV/atom. The calculation puts the total magnetization at 0.63 μB per cell.

a b c (Å): 5.209 5.209 4.901
angles (deg): 90.00 90.00 90.00
Space group P4/mmm (No. 123)
Asymmetric unit:
Zr: 0.000 0.000 0.000 x1
Ti: 0.000 0.000 0.500 x1
B: 0.500 0.500 0.500 x1
Au: 0.000 0.500 0.000 x2

Which formula does entry 2 have? TiBAu

Please write out number 3 again, unchanged.
## TiBAu (PBE)

Data for crystalline TiBAu at its relaxed geometry.

The value obtained for the calculated density is 10.02 g cm⁻³. The total energy comes out at -74.69 eV/cell. The formation enthalpy at 0 K comes out at -0.27 eV/atom. The calculation puts the total magnetization at 0.00 μB per cell.

a b c (Å): 8.785 3.004 6.477
angles (deg): 90.00 97.68 90.00
Space group Cm (No. 8)
Asymmetric unit:
Ti: 0.000 0.000 0.000 x2
Ti: 0.220 0.000 0.703 x2
B: 0.416 0.500 0.656 x2
B: 0.492 0.000 0.732 x2
Au: 0.242 0.500 0.146 x2
Au: 0.493 0.000 0.383 x2